Compound: CrCd2
Source: the Alexandria database
Functional: GGA-PBEsol
Structure: relaxed

```
3
Lattice="-1.938 2.243 -0.667 -3.168 -2.492 0.823 2.618 1.436 4.143" Properties=species:S:1:pos:R:3 pbc="T T T"
Cd 0.044 0.882 2.839
Cd -2.532 0.305 1.461
Cr 0.000 0.000 0.000
```

Results
Formation energy from the elements = 392 meV per atom
VASP energy = -3.8200 eV/atom
Crystal system = orthorhombic
Total moment = 4.08 μB/cell
D(E_F) = 1.09 states/eV/f.u.